The following is a DFT calculation (PBE-GGA) of crystalline Mn4CdTe at its relaxed geometry.

abc: 5.083 5.083 5.083
angles: 60.00 60.00 60.00
Sites, in units of the cell vectors:
Mn  0.375  0.375  0.875
Mn  0.875  0.375  0.375
Mn  0.375  0.875  0.375
Mn  0.375  0.375  0.375
Te  0.750  0.750  0.750
Cd  0.000  0.000  0.000

Output
- SG: F-43m
- Electronic total energy: -6.31 eV per atom


The following is a DFT calculation (PBE-GGA) of crystalline Mn2CdTe at its relaxed geometry.

abc: 5.147 5.147 5.147
angles: 130.48 130.44 72.67
Sites, in units of the cell vectors:
Cd  0.250  0.750  0.500
Te  0.750  0.250  0.500
Mn  0.000  0.000  0.000
Mn  0.500  0.500  0.000

Output
- SG: I4/mmm
- Distance to the lowest polymorph of the same formula: 115 meV/atom


| no. | calculated volume (Å³/cell) | D(E_F) (states/eV/f.u.) |
| --- | --- | --- |
| 1 | 93 | 8.90 |
| 2 | 77 | 2.50 |